Computed, not measured: CaNbIn2Re after structural relaxation at the PBE-GGA level of DFT.

Structure (POSCAR):
```
CaNbIn2Re
1.0
-4.6578 -1.9159 -1.1996
1.3169 -4.5027 2.0779
-1.8286 1.5784 4.5793
Re Nb Ca In
1 1 1 2
Cartesian
0.0000 0.0000 0.0000
-2.5847 -2.4201 2.7288
0.6585 -2.2514 1.0389
-0.9143 0.7892 2.2896
-2.3289 -0.9579 -0.5998
```

Crystal system = tetragonal
SG = No. 123
Energy of formation from the pure elements = 6.7 eV/f.u.


Computed, not measured: CaNb2InRe after structural relaxation at the PBE-GGA level of DFT.

Structure (POSCAR):
```
CaNb2InRe
1.0
5.1084 0.0000 0.0000
0.0000 4.9775 0.0000
0.0000 0.0000 5.1084
Re Nb Ca In
1 2 1 1
Cartesian
0.0000 2.4888 0.0000
0.0000 0.0000 2.5542
2.5542 0.0000 0.0000
2.5542 2.4888 2.5542
0.0000 0.0000 0.0000
```

Crystal system = tetragonal
SG = No. 123
Energy of formation from the pure elements = 9.0 eV/f.u.


Computed, not measured: Ca2NbInRu after structural relaxation at the PBE-GGA level of DFT.

Structure (POSCAR):
```
Ca2NbInRu
1.0
-4.5106 -2.3693 0.0975
0.3308 -0.4165 5.1835
-2.3492 4.4933 0.5110
Ru Nb Ca In
1 1 2 1
Cartesian
0.0000 0.0000 0.0000
-3.2645 0.8537 2.8960
-1.1746 2.2466 0.2555
-2.2553 -1.1847 0.0487
0.1654 -0.2083 2.5918
```

Crystal system = tetragonal
SG = No. 123
Energy of formation from the pure elements = 4.6 eV/f.u.


Computed, not measured: Ca2NbInSi after structural relaxation at the PBE-GGA level of DFT.

Structure (POSCAR):
```
Ca2NbInSi
1.0
-4.8711 -2.6894 0.7564
1.5309 -3.6116 -2.9822
2.1821 -2.7130 4.4058
Nb Si Ca In
1 1 2 1
Cartesian
0.0000 0.0000 0.0000
0.7655 -1.8058 -1.4911
1.0910 -1.3565 2.2029
-2.4356 -1.3447 0.3782
-0.5791 -4.5070 1.0900
```

Crystal system = tetragonal
SG = No. 123
Energy relative to the elements, uncorrected = 0.602 eV/atom


no.,Fermi-level density of states (states/eV/f.u.)
1,5.21
2,8.37
3,9.09
4,4.81